Entry from the Alexandria database: a relaxed structure of MgAlTe (PBEsol).

```
MgAlTe
1.0
-0.362 4.931 -0.063
-2.549 2.246 -3.592
-4.321 2.175 1.023
Mg Al Te
1 1 1
direct
0.500 0.500 0.500
0.000 0.000 0.000
0.250 0.250 0.250
```

* V: 28.49 Å³/atom
* E above lowest polymorph: 97 meV/atom
* crystal system: cubic
* total magnetization: 0.000 μB per atom